1.
Compound: Pu2Pd7Au2
Source: the Alexandria database
Functional: PBE
Structure: relaxed

## Properties
calculated total energy: -6.833 eV/atom
E_form: -0.33 eV/atom

Cell: 6.556 6.556 5.428 Å, 109.73 109.73 90.60°
Fractional coordinates of all 11 atoms:
Pu1 0.201 0.799 0.000
Pu2 0.799 0.201 0.000
Pd1 0.000 0.000 0.500
Pd2 0.074 0.584 0.326
Pd3 0.284 0.284 0.037
Pd4 0.416 0.926 0.674
Pd5 0.584 0.074 0.326
Pd6 0.716 0.716 0.963
Pd7 0.926 0.416 0.674
Au1 0.346 0.346 0.594
Au2 0.654 0.654 0.406

---

2.
Compound: LiLaDy
Source: the Alexandria database
Functional: PBE
Structure: relaxed

## Properties
calculated total energy: -3.603 eV/atom
distance to the lowest polymorph of the same formula: 125 meV per atom
E_form: 0.21 eV/atom

Cell: 9.171 9.171 9.171 Å, 110.92 110.92 110.92°
Fractional coordinates of all 18 atoms:
Li1 0.249 0.649 0.604
Li2 0.351 0.396 0.751
Li3 0.396 0.751 0.351
Li4 0.604 0.249 0.649
Li5 0.649 0.604 0.249
Li6 0.751 0.351 0.396
La1 0.067 0.534 0.853
La2 0.147 0.933 0.466
La3 0.466 0.147 0.933
La4 0.534 0.853 0.067
La5 0.853 0.067 0.534
La6 0.933 0.466 0.147
Dy1 0.026 0.193 0.289
Dy2 0.193 0.289 0.026
Dy3 0.289 0.026 0.193
Dy4 0.711 0.974 0.807
Dy5 0.807 0.711 0.974
Dy6 0.974 0.807 0.711

---

3.
Compound: La2BiMoI
Source: the Alexandria database
Functional: PBE
Structure: relaxed

## Properties
formation energy from raw total energies: -232 meV per atom
calculated total energy: -5.455 eV/atom

Cell: 5.661 5.661 5.278 Å, 90.00 90.00 90.00°
Fractional coordinates of all 5 atoms:
La1 0.000 0.500 0.000
La2 0.500 0.000 0.000
Bi1 0.000 0.000 0.500
Mo1 0.000 0.000 0.000
I1 0.500 0.500 0.500

---

4.
Compound: As3C
Source: the Alexandria database
Functional: PBE
Structure: relaxed

## Properties
calculated total energy: -4.236 eV/atom
distance to the lowest polymorph of the same formula: 1017 meV per atom
E_form: 1.56 eV/atom

Cell: 4.359 4.359 3.539 Å, 90.00 90.00 103.83°
Fractional coordinates of all 4 atoms:
As1 0.000 0.000 0.000
As2 0.000 0.500 0.500
As3 0.500 0.000 0.500
C1 0.500 0.500 0.000

---

5.
Compound: Pr2Nd6Pu
Source: the Alexandria database
Functional: PBE
Structure: relaxed

## Properties
calculated total energy: -5.719 eV/atom
E_form: 0.11 eV/atom

Cell: 11.202 11.202 6.724 Å, 107.41 107.41 51.01°
Fractional coordinates of all 18 atoms:
Pr1 0.019 0.374 0.196
Pr2 0.374 0.019 0.696
Pr3 0.626 0.981 0.304
Pr4 0.981 0.626 0.804
Nd1 0.026 0.700 0.363
Nd2 0.289 0.658 0.974
Nd3 0.300 0.974 0.137
Nd4 0.337 0.337 0.087
Nd5 0.337 0.337 0.587
Nd6 0.342 0.711 0.526
Nd7 0.658 0.289 0.474
Nd8 0.663 0.663 0.413
Nd9 0.663 0.663 0.913
Nd10 0.700 0.026 0.863
Nd11 0.711 0.342 0.026
Nd12 0.974 0.300 0.637
Pu1 0.000 0.000 0.250
Pu2 0.000 0.000 0.750

---

6.
Compound: BaMgPH
Source: the Alexandria database
Functional: PBE
Structure: relaxed

## Properties
calculated total energy: -3.861 eV/atom

Cell: 4.435 4.435 5.044 Å, 90.00 90.00 120.00°
Fractional coordinates of all 4 atoms:
Ba1 0.000 0.000 0.000
Mg1 0.667 0.333 0.528
P1 0.333 0.667 0.458
H1 0.667 0.333 0.915

---

7.
Compound: RbInAgCl3
Source: the Alexandria database
Functional: PBE
Structure: relaxed

## Properties
formation energy from raw total energies: -1053 meV per atom
calculated total energy: -3.070 eV/atom

Cell: 9.031 4.649 10.445 Å, 90.00 100.81 90.00°
Fractional coordinates of all 12 atoms:
Rb1 0.171 0.250 0.383
Rb2 0.829 0.750 0.617
In1 0.293 0.750 0.860
In2 0.707 0.250 0.140
Ag1 0.193 0.250 0.002
Ag2 0.807 0.750 0.998
Cl1 0.049 0.750 0.154
Cl2 0.197 0.750 0.604
Cl3 0.414 0.250 0.182
Cl4 0.586 0.750 0.818
Cl5 0.803 0.250 0.396
Cl6 0.951 0.250 0.846

---

8.
Compound: YInPd3
Source: the Alexandria database
Functional: PBE
Structure: relaxed

## Properties
calculated total energy: -5.541 eV/atom
distance to the lowest polymorph of the same formula: 0 meV per atom
E_form: -0.59 eV/atom

Cell: 8.322 7.516 6.440 Å, 90.00 90.00 90.00°
Fractional coordinates of all 20 atoms:
Y1 0.116 0.250 0.058
Y2 0.384 0.750 0.558
Y3 0.616 0.250 0.442
Y4 0.884 0.750 0.942
In1 0.000 0.000 0.500
In2 0.000 0.500 0.500
In3 0.500 0.000 0.000
In4 0.500 0.500 0.000
Pd1 0.144 0.750 0.220
Pd2 0.190 0.562 0.843
Pd3 0.190 0.938 0.843
Pd4 0.310 0.062 0.343
Pd5 0.310 0.438 0.343
Pd6 0.356 0.250 0.720
Pd7 0.644 0.750 0.280
Pd8 0.690 0.562 0.657
Pd9 0.690 0.938 0.657
Pd10 0.810 0.062 0.157
Pd11 0.810 0.438 0.157
Pd12 0.856 0.250 0.780